SmAl3Au6: relaxed, PBE-GGA. Values from VASP.

Structure (Quantum ESPRESSO input):
```
&SYSTEM
  ibrav = 0, nat = 10, ntyp = 3
/
ATOMIC_SPECIES
Sm 150.36 Sm.upf
Al 26.98 Al.upf
Au 196.97 Au.upf
ATOMIC_POSITIONS angstrom
Sm 0.0000 0.0000 0.0000
Al 2.2755 2.4277 0.7196
Al 3.9023 3.4547 2.8450
Al 5.6980 5.7245 4.4440
Au 3.1355 5.2410 4.6761
Au 4.5702 5.8807 1.9083
Au 4.4866 2.6176 5.1800
Au 4.8605 3.0779 0.5042
Au 5.6940 1.4070 2.8082
Au 6.8155 4.0540 2.6437
CELL_PARAMETERS angstrom
5.4282 0.0000 0.0000
1.6917 5.6605 0.0000
1.8136 2.3023 6.2844
```

Its formation energy is -0.467 eV/atom. The spin magnetization comes out at 0.0 μB per formula unit. As for the density of states at the Fermi level: 3.6 states/eV/cell. As for the raw total energy: -40.3 eV for the cell shown. The value obtained for the calculated density is 12.15 Mg/m³.